VASP calculation (PBE) on crystalline Mg2CoCl at its relaxed geometry. Values from VASP.

magnetization = 0.30 μB per atom
energy relative to the elements, uncorrected = -0.11 eV/atom
E = -12.6 eV per cell
Fermi-level density of states = 2.155 states/eV/cell
energy relative to the lowest polymorph listed for this composition = 0.258 eV/atom
space group = No. 8

The structure in Quantum ESPRESSO input format:
```
&SYSTEM
  ibrav = 0, nat = 4, ntyp = 3
/
ATOMIC_SPECIES
Mg 24.30 Mg.upf
Co 58.93 Co.upf
Cl 35.45 Cl.upf
CELL_PARAMETERS angstrom
5.371 -0.004 0.003
4.519 2.903 0.003
1.327 0.389 4.637
ATOMIC_POSITIONS crystal
Mg 0.040 0.040 0.905
Co 0.768 0.768 0.800
Cl 0.443 0.443 0.517
Mg 0.249 0.249 0.277
```